No. 1
Here is a geometry-optimized LuCuTe3Pb structure from OQMD. Energies are from PBE-GGA.

Cell lengths 19.595, 4.302, 8.659 Å; angles 90.00, 102.35, 90.00 degrees
Space group C2/m (No. 12)
Asymmetric unit:
Lu 0.159 0.000 0.082 x4
Cu 0.045 0.500 0.206 x4
Te 0.000 0.000 0.000 x2
Te 0.000 0.500 0.500 x2
Te 0.179 0.500 0.329 x4
Te 0.179 0.500 0.852 x4
Pb 0.125 0.000 0.569 x4

## Properties
Its spin magnetization is 0.0013 μB per atom. Its total energy is -4.18 eV per atom. As for the energy above the most stable polymorph in this dataset: 0.063 eV/atom.

No. 2
Here is a geometry-optimized LuCuTe3Pb structure from OQMD. Energies are from PBE-GGA.

Cell lengths 12.335, 4.392, 12.420 Å; angles 90.00, 90.00, 90.00 degrees
Space group Pnma (No. 62)
Asymmetric unit:
Lu 0.029 0.250 0.188 x4
Cu 0.234 0.750 0.300 x4
Te 0.032 0.750 0.362 x4
Te 0.097 0.250 0.936 x4
Te 0.222 0.750 0.688 x4
Pb 0.196 0.250 0.481 x4

## Properties
Its spin magnetization is 0.0001 μB per atom. Its total energy is -4.19 eV per atom. As for the energy above the most stable polymorph in this dataset: 0.059 eV/atom.

No. 3
Here is a geometry-optimized LuCuTe3Pb structure from OQMD. Energies are from PBE-GGA.

Cell lengths 4.261, 14.563, 11.072 Å; angles 90.00, 90.00, 90.00 degrees
Space group Cmcm (No. 63)
Asymmetric unit:
Lu 0.000 0.000 0.000 x4
Cu 0.000 0.468 0.250 x4
Te 0.000 0.081 0.250 x4
Te 0.000 0.358 0.060 x8
Pb 0.000 0.239 0.750 x4

## Properties
Its spin magnetization is 0.0001 μB per atom. Its total energy is -4.25 eV per atom. As for the energy above the most stable polymorph in this dataset: 0.002 eV/atom.

No. 4
Here is a geometry-optimized LuCuTe3Pb structure from OQMD. Energies are from PBE-GGA.

Cell lengths 8.258, 4.249, 10.592 Å; angles 90.00, 106.35, 90.00 degrees
Space group P2_1/m (No. 11)
Asymmetric unit:
Lu 0.197 0.250 0.168 x2
Cu 0.423 0.750 0.414 x2
Te 0.076 0.250 0.867 x2
Te 0.241 0.250 0.458 x2
Te 0.453 0.750 0.170 x2
Pb 0.239 0.750 0.697 x2

## Properties
Its spin magnetization is 0.0007 μB per atom. Its total energy is -4.24 eV per atom. As for the energy above the most stable polymorph in this dataset: 0.013 eV/atom.

No. 5
Here is a geometry-optimized LuCuTe3Pb structure from OQMD. Energies are from PBE-GGA.

Cell lengths 9.799, 4.332, 16.368 Å; angles 90.00, 90.00, 90.00 degrees
Space group Pnma (No. 62)
Asymmetric unit:
Lu 0.196 0.250 0.033 x4
Cu 0.141 0.750 0.872 x4
Te 0.012 0.750 0.105 x4
Te 0.139 0.250 0.456 x4
Te 0.180 0.750 0.708 x4
Pb 0.085 0.750 0.294 x4

## Properties
Its spin magnetization is 0.0000 μB per atom. Its total energy is -4.19 eV per atom. As for the energy above the most stable polymorph in this dataset: 0.053 eV/atom.

No. 6
Here is a geometry-optimized LuCuTe3Pb structure from OQMD. Energies are from PBE-GGA.

Cell lengths 11.152, 4.260, 14.497 Å; angles 90.00, 90.00, 90.00 degrees
Space group Pnma (No. 62)
Asymmetric unit:
Lu 0.022 0.250 0.243 x4
Cu 0.244 0.250 0.718 x4
Te 0.043 0.250 0.614 x4
Te 0.077 0.750 0.102 x4
Te 0.232 0.750 0.831 x4
Pb 0.223 0.750 0.512 x4

## Properties
Its spin magnetization is 0.0004 μB per atom. Its total energy is -4.25 eV per atom. As for the energy above the most stable polymorph in this dataset: 0.000 eV/atom.

No. 7
Here is a geometry-optimized YLuCuPb structure from OQMD. Energies are from PBE-GGA.

Cell lengths 7.363, 7.363, 7.363 Å; angles 90.00, 90.00, 90.00 degrees
Space group F-43m (No. 216)
Asymmetric unit:
Y 0.000 0.000 0.000 x4
Lu 0.250 0.250 0.750 x4
Cu 0.000 0.000 0.500 x4
Pb 0.250 0.250 0.250 x4

## Properties
Its spin magnetization is 0.0046 μB per atom. Its total energy is -4.42 eV per atom. As for the energy above the most stable polymorph in this dataset: 0.000 eV/atom.

No. 8
Here is a geometry-optimized LuZnCuPb structure from OQMD. Energies are from PBE-GGA.

Cell lengths 6.897, 6.897, 6.897 Å; angles 90.00, 90.00, 90.00 degrees
Space group F-43m (No. 216)
Asymmetric unit:
Lu 0.000 0.000 0.000 x4
Zn 0.250 0.250 0.750 x4
Cu 0.000 0.000 0.500 x4
Pb 0.250 0.250 0.250 x4

## Properties
Its spin magnetization is 0.0000 μB per atom. Its total energy is -3.34 eV per atom. As for the energy above the most stable polymorph in this dataset: 0.061 eV/atom.